Record 1
10
Lattice="-7.815 -1.963 -5.159 1.635 -5.371 -0.434 -1.282 -0.880 6.071" Properties=species:S:1:pos:R:3 comment="NdHoEr3 (GGA-PBE, optimized geometry)" crystal_system=monoclinic relative_energy_ev_per_fu=0.00 formation_energy_ev_per_atom=0.01 pbc="T T T"
Er -0.342 -3.154 4.878
Er -1.006 -6.174 3.209
Nd -1.380 -3.190 1.395
Ho -2.439 -3.233 -2.057
Er -5.801 -4.188 -2.905
Ho -4.368 -7.129 2.361
Er -4.754 -4.150 0.572
Er -6.466 -7.208 -4.573
Nd -5.428 -7.173 -1.091
Er -2.053 -6.213 -0.267


Record 2
4
Lattice="6.191 0.016 0.000 4.158 4.587 0.000 -5.175 -2.302 2.501" Properties=species:S:1:pos:R:3 comment="Be2InSe (GGA-PBE, optimized geometry)" crystal_system=tetragonal relative_energy_ev_per_fu=1.38 raw_formation_energy_mev_per_atom=493 pbc="T T T"
In 5.175 2.302 0.000
Se 3.096 0.008 1.251
Be 0.000 0.000 0.000
Be 2.079 2.294 1.251


Record 3
4
Lattice="-3.381 -1.130 4.263 -1.739 -5.251 0.530 4.858 2.597 -0.731" Properties=species:S:1:pos:R:3 comment="Cd2TeOs (GGA-PBE, optimized geometry)" crystal_system=tetragonal raw_formation_energy_mev_per_atom=654 pbc="T T T"
Cd -2.560 -3.190 2.396
Te -0.542 -0.861 2.964
Cd 0.000 0.000 0.000
Os 0.279 -2.922 1.097


Record 4
7
Lattice="-2.687 1.010 2.949 -5.107 -3.059 -0.734 0.007 -4.532 4.431" Properties=species:S:1:pos:R:3 comment="Ac2Co2Si2B (GGA-PBE, optimized geometry)" crystal_system=monoclinic raw_formation_energy_mev_per_atom=-510 pbc="T T T"
Ac -5.268 -3.437 2.120
Ac -2.519 -3.144 4.525
Co -4.024 -6.125 4.175
Si -2.422 -1.965 1.338
Co -3.764 -0.456 2.470
Si -5.366 -4.616 5.308
B 0.000 0.000 0.000


Record 5
3
Lattice="-2.884 -2.302 -2.243 4.226 -0.661 -0.598 -0.017 -1.826 1.896" Properties=species:S:1:pos:R:3 comment="MnReTc (GGA-PBE, optimized geometry)" crystal_system=trigonal relative_energy_ev_per_fu=0.07 formation_energy_ev_per_atom=0.10 pbc="T T T"
Re -0.520 -2.373 -1.053
Mn 0.000 -0.011 0.011
Tc 1.845 -2.406 0.097


Record 6
4
Lattice="-2.209 2.957 -2.634 -3.695 -1.312 -2.277 -4.087 1.527 1.237" Properties=species:S:1:pos:R:3 comment="MnTcSe2 (GGA-PBE, optimized geometry)" crystal_system=cubic relative_energy_ev_per_fu=3.75 raw_formation_energy_mev_per_atom=635 pbc="T T T"
Mn -4.995 1.586 -1.837
Se 0.000 0.000 0.000
Tc -2.498 0.793 -0.919
Se -7.493 2.379 -2.756


Record 7
12
Lattice="-4.466 -3.201 -3.520 3.485 -3.173 4.513 -7.233 2.228 7.151" Properties=species:S:1:pos:R:3 comment="BaSr3Mg8 (GGA-PBE, optimized geometry)" crystal_system=trigonal formation_energy_ev_per_atom=-0.10 pbc="T T T"
Mg 0.368 -2.629 4.929
Mg -1.363 -1.051 2.686
Mg -1.851 -4.220 3.180
Sr -4.986 -2.215 2.292
Mg -6.390 -0.957 8.977
Ba -4.052 1.248 4.006
Mg -5.938 -1.508 5.887
Sr -6.823 2.102 6.745
Sr -2.253 -3.057 -0.409
Mg -4.199 -3.092 8.139
Mg -3.709 0.089 7.643
Mg -2.775 -2.071 5.404


Record 8
5
Lattice="5.044 0.000 0.000 0.000 5.044 0.000 0.000 0.000 5.044" Properties=species:S:1:pos:R:3 comment="CsOs3Pb (GGA-PBE, optimized geometry)" crystal_system=cubic relative_energy_ev_per_fu=4.04 formation_energy_ev_per_atom=3.65 pbc="T T T"
Os 0.000 0.000 2.522
Os 2.522 0.000 0.000
Pb 2.522 2.522 2.522
Os 0.000 2.522 0.000
Cs 0.000 0.000 0.000